No. 1
NbTc2F: optimized geometry, PBE-GGA.

The structure belongs to space group Fm-3m (No. 225); the cell edges are 6.190, 6.190 and 6.190 Å and the angles 90.00°, 90.00° and 90.00°. The asymmetric unit holds Nb at (0.000, 0.000, 0.000), Tc at (0.250, 0.250, 0.250) and F at (0.000, 0.000, 0.500).

The value obtained for the size of the total moment is 0.0000 μB per atom. The value obtained for the uncorrected formation energy is 122 kJ/mol of formula units. The distance to the lowest polymorph of the same formula is 0.0986 eV/atom. Its crystal system is cubic.

---

No. 2
NbTcF2: optimized geometry, PBE-GGA.

The structure belongs to space group R-3m (No. 166, hexagonal axes); the cell edges are 2.7797, 2.7797 and 23.3836 Å and the angles 90.00°, 90.00° and 120.00°. The asymmetric unit holds Nb at (0.0000, 0.0000, 0.0000), Tc at (0.0000, 0.0000, 0.5000) and F at (0.0000, 0.0000, 0.4047).

The value obtained for the size of the total moment is 0.0000 μB per atom. The value obtained for the uncorrected formation energy is -330 kJ/mol of formula units. The distance to the lowest polymorph of the same formula is 0.0000 eV/atom. Its crystal system is trigonal.

---

No. 3
NbTcF3: optimized geometry, PBE-GGA.

The structure belongs to space group Pm-3m (No. 221); the cell edges are 4.320, 4.320 and 4.320 Å and the angles 90.00°, 90.00° and 90.00°. The asymmetric unit holds Nb at (0.000, 0.000, 0.000), Tc at (0.500, 0.500, 0.500) and F at (0.000, 0.000, 0.500).

The value obtained for the size of the total moment is 0.4200 μB per atom. The value obtained for the uncorrected formation energy is -387 kJ/mol of formula units. The distance to the lowest polymorph of the same formula is 0.0000 eV/atom. Its crystal system is cubic.

---

- Number 3 is which compound?
  NbTcF3